{"formula": "SiNiO2F", "functional": "PBE with a Hubbard U", "state": "relaxed", "volume_a3_per_cell": 45.81, "sg": "P4/mmm, No. 123", "magmom_total_mub_per_cell": 1.074, "final_energy_ev_per_cell": -26.379, "cell": [[3.4929, 0.0000, 0.0000], [0.0000, 3.4929, 0.0000], [0.0000, 0.0000, 3.7545]], "species": ["Si", "Ni", "O", "O", "F"], "frac_coords": [[0.0000, 0.0000, 0.0000], [0.5000, 0.5000, 0.5000], [0.0000, 0.5000, 0.0000], [0.5000, 0.0000, 0.0000], [0.0000, 0.0000, 0.5000]]}